# Y3TmTl4Te8, relaxed, DFT GGA-PBE
data_Y3TmTl4Te8
_chemical_formula_sum 'Y9 Tm3 Tl12 Te24'
_cell_length_a 8.8838
_cell_length_b 8.8838
_cell_length_c 24.5655
_cell_angle_alpha 90.00
_cell_angle_beta 90.00
_cell_angle_gamma 120.00
_symmetry_space_group_name_H-M 'R -3 m'
_symmetry_Int_Tables_number 166
_symmetry_space_group_name_Hall '-R 3 2"'
loop_
_atom_site_label
_atom_site_type_symbol
_atom_site_fract_x
_atom_site_fract_y
_atom_site_fract_z
Y1 Y 0.0000 0.5000 0.0000
Tm1 Tm 0.0000 0.0000 0.0000
Tl1 Tl 0.0000 0.0000 0.5000
Tl2 Tl 0.0000 0.5000 0.5000
Te1 Te 0.0000 0.0000 0.2620
Te2 Te 0.0030 0.5015 0.7375
# magnetic moment = 0.0000 μB/atom
# final energy = -4.712 eV per atom

# CuIr3, relaxed, DFT GGA-PBE
data_CuIr3
_chemical_formula_sum 'Cu1 Ir3'
_cell_length_a 2.728
_cell_length_b 3.805
_cell_length_c 5.398
_cell_angle_alpha 90.00
_cell_angle_beta 90.00
_cell_angle_gamma 90.00
_symmetry_space_group_name_H-M 'P m m m'
_symmetry_Int_Tables_number 47
_symmetry_space_group_name_Hall '-P 2 2'
loop_
_atom_site_label
_atom_site_type_symbol
_atom_site_fract_x
_atom_site_fract_y
_atom_site_fract_z
Cu1 Cu 0.000 0.000 0.000
Ir1 Ir 0.000 0.000 0.500
Ir2 Ir 0.500 0.500 0.247
# energy relative to the elements = 0.082 eV/atom
# magnetic moment = 0.0000 μB/atom

# AcNdNi3, relaxed, DFT GGA-PBE
data_AcNdNi3
_chemical_formula_sum 'Ac4 Nd4 Ni12'
_cell_length_a 4.153
_cell_length_b 24.837
_cell_length_c 4.129
_cell_angle_alpha 90.00
_cell_angle_beta 90.00
_cell_angle_gamma 90.00
_symmetry_space_group_name_H-M 'C m c m'
_symmetry_Int_Tables_number 63
_symmetry_space_group_name_Hall '-C 2c 2'
loop_
_atom_site_label
_atom_site_type_symbol
_atom_site_fract_x
_atom_site_fract_y
_atom_site_fract_z
Ac1 Ac 0.000 0.072 0.250
Nd1 Nd 0.000 0.204 0.750
Ni1 Ni 0.000 0.325 0.750
Ni2 Ni 0.000 0.377 0.250
Ni3 Ni 0.000 0.475 0.250
# energy relative to the elements = -0.291 eV/atom
# magnetic moment = 0.0000 μB/atom

# Tb3Al3Zn8, relaxed, DFT GGA-PBE
data_Tb3Al3Zn8
_chemical_formula_sum 'Tb6 Al6 Zn16'
_cell_length_a 4.275
_cell_length_b 9.541
_cell_length_c 12.610
_cell_angle_alpha 90.00
_cell_angle_beta 90.00
_cell_angle_gamma 90.00
_symmetry_space_group_name_H-M 'I m m m'
_symmetry_Int_Tables_number 71
_symmetry_space_group_name_Hall '-I 2 2'
loop_
_atom_site_label
_atom_site_type_symbol
_atom_site_fract_x
_atom_site_fract_y
_atom_site_fract_z
Tb1 Tb 0.000 0.000 0.000
Tb2 Tb 0.000 0.000 0.304
Al1 Al 0.000 0.207 0.500
Al2 Al 0.000 0.500 0.000
Zn1 Zn 0.000 0.275 0.140
Zn2 Zn 0.000 0.368 0.338
# energy relative to the elements = -0.376 eV/atom
# magnetic moment = 0.0000 μB/atom

# EuErNiPd, relaxed, DFT GGA-PBE
data_EuErNiPd
_chemical_formula_sum 'Eu4 Er4 Ni4 Pd4'
_cell_length_a 6.973
_cell_length_b 6.973
_cell_length_c 6.973
_cell_angle_alpha 90.00
_cell_angle_beta 90.00
_cell_angle_gamma 90.00
_symmetry_space_group_name_H-M 'F -4 3 m'
_symmetry_Int_Tables_number 216
_symmetry_space_group_name_Hall 'F -4 2 3'
loop_
_atom_site_label
_atom_site_type_symbol
_atom_site_fract_x
_atom_site_fract_y
_atom_site_fract_z
Eu1 Eu 0.000 0.000 0.000
Er1 Er 0.000 0.000 0.500
Ni1 Ni 0.250 0.250 0.250
Pd1 Pd 0.250 0.250 0.750
# energy relative to the elements = -0.459 eV/atom
# magnetic moment = 1.7686 μB/atom

# TiIrAu, relaxed, DFT GGA-PBE
data_TiIrAu
_chemical_formula_sum 'Ti4 Ir4 Au4'
_cell_length_a 14.000
_cell_length_b 3.030
_cell_length_c 4.687
_cell_angle_alpha 90.00
_cell_angle_beta 100.52
_cell_angle_gamma 90.00
_symmetry_space_group_name_H-M 'C 1 2/m 1'
_symmetry_Int_Tables_number 12
_symmetry_space_group_name_Hall '-C 2y'
loop_
_atom_site_label
_atom_site_type_symbol
_atom_site_fract_x
_atom_site_fract_y
_atom_site_fract_z
Ti1 Ti 0.112 0.000 0.298
Ir1 Ir 0.250 0.000 0.759
Au1 Au 0.062 0.500 0.778
# energy relative to the elements = -0.495 eV/atom
# magnetic moment = 0.0000 μB/atom
# relative energy among the computed polymorphs = 38 meV per atom

# CsNaTc2Au, relaxed, DFT GGA-PBE
data_CsNaTc2Au
_chemical_formula_sum 'Cs1 Na1 Tc2 Au1'
_cell_length_a 4.947
_cell_length_b 4.947
_cell_length_c 5.198
_cell_angle_alpha 90.00
_cell_angle_beta 90.00
_cell_angle_gamma 90.00
_symmetry_space_group_name_H-M 'P 4/m m m'
_symmetry_Int_Tables_number 123
_symmetry_space_group_name_Hall '-P 4 2'
loop_
_atom_site_label
_atom_site_type_symbol
_atom_site_fract_x
_atom_site_fract_y
_atom_site_fract_z
Cs1 Cs 0.000 0.000 0.000
Na1 Na 0.500 0.500 0.500
Tc1 Tc 0.000 0.500 0.500
Au1 Au 0.500 0.500 0.000
# energy relative to the elements = 1.976 eV/atom
# magnetic moment = 1.3193 μB/atom

# HfCr2Au, relaxed, DFT GGA-PBE
data_HfCr2Au
_chemical_formula_sum 'Hf4 Cr8 Au4'
_cell_length_a 7.276
_cell_length_b 7.276
_cell_length_c 5.670
_cell_angle_alpha 90.00
_cell_angle_beta 90.00
_cell_angle_gamma 90.00
_symmetry_space_group_name_H-M 'I -4 2 d'
_symmetry_Int_Tables_number 122
_symmetry_space_group_name_Hall 'I -4 2bw'
loop_
_atom_site_label
_atom_site_type_symbol
_atom_site_fract_x
_atom_site_fract_y
_atom_site_fract_z
Hf1 Hf 0.000 0.000 0.000
Cr1 Cr 0.232 0.750 0.625
Au1 Au 0.000 0.000 0.500
# energy relative to the elements = 0.625 eV/atom
# magnetic moment = 1.7114 μB/atom
# relative energy among the computed polymorphs = 327 meV per atom

# Y2PO, relaxed, DFT GGA-PBE
data_Y2PO
_chemical_formula_sum 'Y8 P4 O4'
_cell_length_a 5.765
_cell_length_b 5.765
_cell_length_c 11.165
_cell_angle_alpha 90.00
_cell_angle_beta 90.00
_cell_angle_gamma 90.00
_symmetry_space_group_name_H-M 'I -4 2 d'
_symmetry_Int_Tables_number 122
_symmetry_space_group_name_Hall 'I -4 2bw'
loop_
_atom_site_label
_atom_site_type_symbol
_atom_site_fract_x
_atom_site_fract_y
_atom_site_fract_z
Y1 Y 0.192 0.250 0.125
P1 P 0.000 0.000 0.500
O1 O 0.000 0.000 0.000
# magnetic moment = 0.0000 μB/atom
# relative energy among the computed polymorphs = 312 meV per atom

# LaHo2N, relaxed, DFT GGA-PBE
data_LaHo2N
_chemical_formula_sum 'La3 Ho6 N3'
_cell_length_a 3.4321
_cell_length_b 3.4321
_cell_length_c 29.1048
_cell_angle_alpha 90.00
_cell_angle_beta 90.00
_cell_angle_gamma 120.00
_symmetry_space_group_name_H-M 'R -3 m'
_symmetry_Int_Tables_number 166
_symmetry_space_group_name_Hall '-R 3 2"'
loop_
_atom_site_label
_atom_site_type_symbol
_atom_site_fract_x
_atom_site_fract_y
_atom_site_fract_z
La1 La 0.0000 0.0000 0.0000
Ho1 Ho 0.0000 0.0000 0.1209
N1 N 0.0000 0.0000 0.5000
# magnetic moment = 0.0000 μB/atom
# relative energy among the computed polymorphs = 0 meV per atom

# Na3Cd3Hg4, relaxed, DFT GGA-PBE
data_Na3Cd3Hg4
_chemical_formula_sum 'Na6 Cd6 Hg8'
_cell_length_a 3.991
_cell_length_b 11.659
_cell_length_c 11.173
_cell_angle_alpha 90.00
_cell_angle_beta 90.00
_cell_angle_gamma 90.00
_symmetry_space_group_name_H-M 'A m m 2'
_symmetry_Int_Tables_number 38
_symmetry_space_group_name_Hall 'A 2 -2'
loop_
_atom_site_label
_atom_site_type_symbol
_atom_site_fract_x
_atom_site_fract_y
_atom_site_fract_z
Na1 Na 0.000 0.000 0.000
Na2 Na 0.000 0.166 0.348
Cd1 Cd 0.000 0.000 0.679
Cd2 Cd 0.500 0.245 0.088
Hg1 Hg 0.500 0.000 0.209
Hg2 Hg 0.500 0.000 0.484
Hg3 Hg 0.500 0.137 0.832
# energy relative to the elements = -0.138 eV/atom
# magnetic moment = 0.0000 μB/atom

# MnCd2IrN, relaxed, DFT GGA-PBE
data_MnCd2IrN
_chemical_formula_sum 'Mn1 Cd2 Ir1 N1'
_cell_length_a 5.400
_cell_length_b 5.400
_cell_length_c 3.668
_cell_angle_alpha 90.00
_cell_angle_beta 90.00
_cell_angle_gamma 90.00
_symmetry_space_group_name_H-M 'P 4/m m m'
_symmetry_Int_Tables_number 123
_symmetry_space_group_name_Hall '-P 4 2'
loop_
_atom_site_label
_atom_site_type_symbol
_atom_site_fract_x
_atom_site_fract_y
_atom_site_fract_z
Mn1 Mn 0.000 0.000 0.000
Cd1 Cd 0.000 0.500 0.500
Ir1 Ir 0.500 0.500 0.500
N1 N 0.500 0.500 0.000
# magnetic moment = 0.9096 μB/atom
# final energy = -5.020 eV per atom

# Pm2CuC, relaxed, DFT GGA-PBE
data_Pm2CuC
_chemical_formula_sum 'Pm2 Cu1 C1'
_cell_length_a 3.337
_cell_length_b 3.337
_cell_length_c 6.810
_cell_angle_alpha 90.00
_cell_angle_beta 90.00
_cell_angle_gamma 90.00
_symmetry_space_group_name_H-M 'P 4/m m m'
_symmetry_Int_Tables_number 123
_symmetry_space_group_name_Hall '-P 4 2'
loop_
_atom_site_label
_atom_site_type_symbol
_atom_site_fract_x
_atom_site_fract_y
_atom_site_fract_z
Pm1 Pm 0.000 0.000 0.209
Cu1 Cu 0.500 0.500 0.500
C1 C 0.500 0.500 0.000
# energy relative to the elements = 0.218 eV/atom
# magnetic moment = 0.0000 μB/atom
# relative energy among the computed polymorphs = 251 meV per atom

# SrAsP2Cl, relaxed, DFT GGA-PBE
data_SrAsP2Cl
_chemical_formula_sum 'Sr1 As1 P2 Cl1'
_cell_length_a 4.750
_cell_length_b 4.750
_cell_length_c 5.414
_cell_angle_alpha 90.00
_cell_angle_beta 90.00
_cell_angle_gamma 90.00
_symmetry_space_group_name_H-M 'P 4/m m m'
_symmetry_Int_Tables_number 123
_symmetry_space_group_name_Hall '-P 4 2'
loop_
_atom_site_label
_atom_site_type_symbol
_atom_site_fract_x
_atom_site_fract_y
_atom_site_fract_z
Sr1 Sr 0.000 0.000 0.000
As1 As 0.500 0.500 0.500
P1 P 0.000 0.500 0.500
Cl1 Cl 0.500 0.500 0.000
# magnetic moment = 0.0000 μB/atom
# relative energy among the computed polymorphs = 0 meV per atom

# Na2PtS2, relaxed, DFT GGA-PBE
data_Na2PtS2
_chemical_formula_sum 'Na4 Pt2 S4'
_cell_length_a 6.578
_cell_length_b 6.578
_cell_length_c 4.347
_cell_angle_alpha 90.00
_cell_angle_beta 90.00
_cell_angle_gamma 90.00
_symmetry_space_group_name_H-M 'P 4/m b m'
_symmetry_Int_Tables_number 127
_symmetry_space_group_name_Hall '-P 4 2ab'
loop_
_atom_site_label
_atom_site_type_symbol
_atom_site_fract_x
_atom_site_fract_y
_atom_site_fract_z
Na1 Na 0.152 0.348 0.000
Pt1 Pt 0.000 0.000 0.500
S1 S 0.169 0.669 0.500
# magnetic moment = 0.0000 μB/atom
# final energy = -4.040 eV per atom

# IrSe2, relaxed, DFT GGA-PBE
data_IrSe2
_chemical_formula_sum 'Ir4 Se8'
_cell_length_a 3.109
_cell_length_b 3.109
_cell_length_c 25.930
_cell_angle_alpha 90.00
_cell_angle_beta 90.00
_cell_angle_gamma 90.00
_symmetry_space_group_name_H-M 'I 41/a m d'
_symmetry_Int_Tables_number 141
loop_
_symmetry_equiv_pos_as_xyz
'x,y,z'
'-x,-y,-z'
'-y+1/4,x+3/4,z+1/4'
'y+1/4,-x+3/4,-z+1/4'
'-x+1/2,-y,z+1/2'
'x+1/2,y,-z+1/2'
'y+1/4,-x+1/4,z+3/4'
'-y+1/4,x+1/4,-z+3/4'
'x,-y,-z'
'-x,y,z'
'-y+1/4,-x+1/4,-z+3/4'
'y+1/4,x+1/4,z+3/4'
'-x+1/2,y,-z+1/2'
'x+1/2,-y,z+1/2'
'y+1/4,x+3/4,-z+1/4'
'-y+1/4,-x+3/4,z+1/4'
'x+1/2,y+1/2,z+1/2'
'-x+1/2,-y+1/2,-z+1/2'
'-y+3/4,x+1/4,z+3/4'
'y+3/4,-x+1/4,-z+3/4'
'-x,-y+1/2,z'
'x,y+1/2,-z'
'y+3/4,-x+3/4,z+1/4'
'-y+3/4,x+3/4,-z+1/4'
'x+1/2,-y+1/2,-z+1/2'
'-x+1/2,y+1/2,z+1/2'
'-y+3/4,-x+3/4,-z+1/4'
'y+3/4,x+3/4,z+1/4'
'-x,y+1/2,-z'
'x,-y+1/2,z'
'y+3/4,x+1/4,-z+3/4'
'-y+3/4,-x+1/4,z+3/4'
loop_
_atom_site_label
_atom_site_type_symbol
_atom_site_fract_x
_atom_site_fract_y
_atom_site_fract_z
Ir1 Ir 0.000 0.250 0.375
Se1 Se 0.000 0.250 0.816
# magnetic moment = 0.0000 μB/atom
# final energy = -4.997 eV per atom

# Tm4CoIr3, relaxed, DFT GGA-PBE
data_Tm4CoIr3
_chemical_formula_sum 'Tm4 Co1 Ir3'
_cell_length_a 3.313
_cell_length_b 4.797
_cell_length_c 9.580
_cell_angle_alpha 90.00
_cell_angle_beta 90.00
_cell_angle_gamma 90.00
_symmetry_space_group_name_H-M 'P m m m'
_symmetry_Int_Tables_number 47
_symmetry_space_group_name_Hall '-P 2 2'
loop_
_atom_site_label
_atom_site_type_symbol
_atom_site_fract_x
_atom_site_fract_y
_atom_site_fract_z
Tm1 Tm 0.000 0.000 0.000
Tm2 Tm 0.000 0.000 0.500
Tm3 Tm 0.000 0.500 0.246
Co1 Co 0.500 0.500 0.000
Ir1 Ir 0.500 0.000 0.248
Ir2 Ir 0.500 0.500 0.500
# energy relative to the elements = -0.750 eV/atom
# magnetic moment = 0.0932 μB/atom

# Zn4SiP, relaxed, DFT GGA-PBE
data_Zn4SiP
_chemical_formula_sum 'Zn16 Si4 P4'
_cell_length_a 7.265
_cell_length_b 7.265
_cell_length_c 7.265
_cell_angle_alpha 90.00
_cell_angle_beta 90.00
_cell_angle_gamma 90.00
_symmetry_space_group_name_H-M 'F -4 3 m'
_symmetry_Int_Tables_number 216
_symmetry_space_group_name_Hall 'F -4 2 3'
loop_
_atom_site_label
_atom_site_type_symbol
_atom_site_fract_x
_atom_site_fract_y
_atom_site_fract_z
Zn1 Zn 0.125 0.125 0.125
Si1 Si 0.000 0.000 0.500
P1 P 0.250 0.250 0.750
# magnetic moment = 0.0000 μB/atom
# final energy = -2.261 eV per atom

# Y8Co3Ag2, relaxed, DFT GGA-PBE
data_Y8Co3Ag2
_chemical_formula_sum 'Y8 Co3 Ag2'
_cell_length_a 8.663
_cell_length_b 4.767
_cell_length_c 8.670
_cell_angle_alpha 90.00
_cell_angle_beta 112.38
_cell_angle_gamma 90.00
_symmetry_space_group_name_H-M 'P 1 2/m 1'
_symmetry_Int_Tables_number 10
_symmetry_space_group_name_Hall '-P 2y'
loop_
_atom_site_label
_atom_site_type_symbol
_atom_site_fract_x
_atom_site_fract_y
_atom_site_fract_z
Y1 Y 0.111 0.000 0.389
Y2 Y 0.141 0.500 0.866
Y3 Y 0.365 0.500 0.641
Y4 Y 0.387 0.000 0.114
Co1 Co 0.252 0.000 0.752
Co2 Co 0.500 0.500 0.000
Ag1 Ag 0.246 0.500 0.254
# energy relative to the elements = -0.075 eV/atom
# magnetic moment = 0.0023 μB/atom

# Li2TbCl5, relaxed, DFT GGA-PBE
data_Li2TbCl5
_chemical_formula_sum 'Li4 Tb2 Cl10'
_cell_length_a 11.534
_cell_length_b 8.014
_cell_length_c 6.731
_cell_angle_alpha 90.00
_cell_angle_beta 120.90
_cell_angle_gamma 90.00
_symmetry_space_group_name_H-M 'C 1 m 1'
_symmetry_Int_Tables_number 8
_symmetry_space_group_name_Hall 'C -2y'
loop_
_atom_site_label
_atom_site_type_symbol
_atom_site_fract_x
_atom_site_fract_y
_atom_site_fract_z
Li1 Li 0.000 0.210 0.000
Tb1 Tb 0.278 0.500 0.239
Cl1 Cl 0.020 0.000 0.280
Cl2 Cl 0.021 0.500 0.132
Cl3 Cl 0.213 0.228 0.011
Cl4 Cl 0.370 0.500 0.684
# magnetic moment = 0.0000 μB/atom
# final energy = -4.183 eV per atom